Entry 1:
First-principles (GGA-PBE) data for crystalline DyAsSe3 at its relaxed geometry, as listed in Alexandria.

```
data_DyAsSe3
_cell_length_a 7.052
_cell_length_b 7.052
_cell_length_c 7.773
_cell_angle_alpha 63.04
_cell_angle_beta 63.04
_cell_angle_gamma 60.01
_space_group_name_H-M_alt 'P 1'
_space_group_IT_number 1
_space_group_name_Hall 'P 1'
loop_
_atom_site_label
_atom_site_fract_x
_atom_site_fract_y
_atom_site_fract_z
Dy1 0.357 0.357 0.929
Se1 0.779 0.429 0.765
Se2 0.027 0.779 0.766
Dy2 0.643 0.643 0.071
Se3 0.973 0.221 0.234
Se4 0.221 0.571 0.234
As1 0.188 0.188 0.435
Se5 0.429 0.027 0.766
As2 0.812 0.812 0.565
Se6 0.571 0.973 0.234
```

Properties
- Formation energy without anion corrections: -0.903 eV per atom

---

Entry 2:
First-principles (GGA-PBE) data for crystalline La4Tb3DyTe8 at its relaxed geometry, as listed in Alexandria.

```
data_La4Tb3DyTe8
_cell_length_a 8.919
_cell_length_b 8.979
_cell_length_c 8.918
_cell_angle_alpha 119.77
_cell_angle_beta 120.00
_cell_angle_gamma 90.00
_space_group_name_H-M_alt 'P 1'
_space_group_IT_number 1
_space_group_name_Hall 'P 1'
loop_
_atom_site_label
_atom_site_fract_x
_atom_site_fract_y
_atom_site_fract_z
Te1 0.244 0.734 0.990
Te2 0.745 0.735 0.490
Te3 0.756 0.266 0.010
Tb1 0.500 0.500 0.500
Te4 0.255 0.265 0.510
La1 0.500 0.000 0.000
La2 0.500 0.000 0.500
Te5 0.255 0.266 0.010
Tb2 0.500 0.500 0.000
La3 0.000 0.000 0.500
Te6 0.756 0.266 0.512
Te7 0.244 0.734 0.488
La4 0.000 0.000 0.000
Dy1 0.000 0.500 0.000
Tb3 0.000 0.500 0.500
Te8 0.745 0.734 0.990
```

Properties
- Formation energy without anion corrections: -1.452 eV per atom

---

Calculated energy in order - -4.84 -5.41 eV/atom
Calculated calculated density in order - 5.52 7.26 Mg/m³
Calculated magnetization in order - 0.0 0.0 μB per cell